# Nd12HoTl4O3

Nd12HoTl4O3 after structural relaxation (PBE, Alexandria).

The energy comes out at -201.83 eV for the cell shown. The value obtained for the uncorrected formation energy is -0.7391 eV/atom. As for the density of states at the Fermi level: 0.87 states/eV per atom.

```
data_Nd12HoTl4O3
_space_group_name_H-M_alt 'I m -3 m'
_space_group_IT_number 229
_space_group_name_Hall '-I 4 2 3'
_cell_length_a 10.361
_cell_length_b 10.361
_cell_length_c 10.361
_cell_angle_alpha 90.00
_cell_angle_beta 90.00
_cell_angle_gamma 90.00
loop_
_atom_site_label
_atom_site_type_symbol
_atom_site_fract_x
_atom_site_fract_y
_atom_site_fract_z
Nd1 Nd 0.000 0.000 0.275
Nd2 Nd 0.000 0.250 0.500
Ho1 Ho 0.000 0.000 0.000
Tl1 Tl 0.250 0.250 0.250
O1 O 0.000 0.000 0.500
```